Material: RbNiPdF6
Method: DFT, PBE+U
State: relaxed

a b c (Å): 5.4199 5.5274 6.1318
angles (deg): 90.77 90.38 59.33
Last column: magnetic moment on the atom in μB.
Fractional coordinates of all 9 atoms:
F  0.6275  0.0060  0.3272  0.04
Rb  0.9920  0.0040  0.0000  0.00
Ni  0.6557  0.6721  0.5000  1.83
F  0.0028  0.3639  0.3240  0.03
F  0.0026  0.6333  0.6760  0.03
F  0.3818  0.9787  0.6965  0.15
Pd  0.3280  0.3360  0.5000  0.65
F  0.3820  0.6394  0.3034  0.15
F  0.6274  0.3665  0.6728  0.04

Calculated values
* calculated volume: 158.0 Å³/cell
* E_tot: -4.154 eV per atom
* total moment: 3.00 Bohr magnetons per cell